A relaxed CaNiB2Pb crystal, computed with PBE-GGA.

Crystal system = tetragonal
M_tot = 0.115 Bohr magnetons per cell
Energy relative to the elements = 190.5 kJ/mol of atoms

Cell lengths 4.569, 4.569, 6.090 Å; angles 90.00, 90.00, 90.00 degrees
Sites, in units of the cell vectors:
Ca  0.000  0.000  0.000
Ni  0.500  0.500  0.000
B  0.000  0.500  0.500
B  0.500  0.000  0.500
Pb  0.000  0.000  0.500